# 1
YMg2Si (meta-GGA SCAN, single point on PBEsol structure); symmetry = F-43m, No. 216; raw formation energy = -63 meV/atom
1.0
4.902 0.000 0.000
2.451 4.245 0.000
2.451 1.415 4.003
Mg Si Y
2 1 1
Direct
0.000 0.000 0.000 Mg
0.750 0.750 0.750 Mg
0.500 0.500 0.500 Si
0.250 0.250 0.250 Y



# 2
MgZnSi2 (meta-GGA SCAN, single point on PBEsol structure); symmetry = P4/mmm, No. 123; raw formation energy = 274 meV/atom
1.0
4.074 0.000 0.000
0.000 3.926 0.000
0.000 0.000 3.926
Mg Si Zn
1 2 1
Direct
0.500 0.000 0.000 Mg
0.000 0.000 0.500 Si
0.000 0.500 0.000 Si
0.500 0.500 0.500 Zn



# 3
MgZnSi2 (meta-GGA SCAN, single point on PBEsol structure); symmetry = I4/mmm, No. 139; raw formation energy = 280 meV/atom
1.0
3.887 0.000 0.000
0.000 3.890 0.000
-1.944 -1.945 4.164
Mg Si Zn
1 2 1
Direct
0.000 0.500 0.000 Mg
0.750 0.750 0.500 Si
0.250 0.250 0.500 Si
0.500 0.000 0.000 Zn



# 4
Mg2ZrSi (meta-GGA SCAN, single point on PBEsol structure); symmetry = I-4m2, No. 119; raw formation energy = -55 meV/atom
1.0
4.156 0.000 0.000
0.000 4.156 0.000
-2.078 -2.078 4.328
Mg Si Zr
2 1 1
Direct
0.000 0.000 0.000 Mg
0.750 0.250 0.500 Mg
0.500 0.500 0.000 Si
0.250 0.750 0.500 Zr



# 5
Mg2ZrSi (meta-GGA SCAN, single point on PBEsol structure); symmetry = Pmm2, No. 25; raw formation energy = -113 meV/atom
1.0
3.167 0.000 0.000
0.000 3.922 0.000
0.000 0.000 6.191
Mg Si Zr
2 1 1
Direct
0.000 0.000 0.002 Mg
0.500 0.500 0.253 Mg
0.000 0.000 0.521 Si
0.500 0.500 0.725 Zr



# 6
MgZrSi3 (meta-GGA SCAN, single point on PBEsol structure); symmetry = Pm-3m, No. 221; raw formation energy = 1112 meV/atom
1.0
-3.588 -0.690 2.913
-2.851 -0.601 -3.654
0.914 -4.583 0.041
Si Mg Zr
3 1 1
Direct
0.000 0.500 0.000 Si
0.000 0.000 0.500 Si
0.500 0.000 0.000 Si
0.000 0.000 0.000 Mg
0.500 0.500 0.500 Zr



# 7
Mg2ZrSi (meta-GGA SCAN, single point on PBEsol structure); symmetry = R-3m, No. 166; raw formation energy = 124 meV/atom
1.0
-0.899 -2.258 1.823
-0.016 -2.861 -1.021
8.882 -2.864 3.364
Mg Si Zr
2 1 1
Direct
0.242 0.242 0.274 Mg
0.758 0.758 0.726 Mg
0.500 0.500 0.500 Si
0.000 0.000 0.000 Zr



# 8
Sm2Mg (meta-GGA SCAN, single point on PBEsol structure); symmetry = Cmcm, No. 63; ΔE to the lowest computed polymorph = 0.0000 eV/atom
1.0
-1.586 -0.269 3.355
3.799 -3.666 1.502
5.763 6.454 1.178
Mg Sm
2 4
Direct
0.432 0.250 0.863 Mg
0.568 0.750 0.137 Mg
0.090 0.250 0.179 Sm
0.771 0.250 0.543 Sm
0.910 0.750 0.821 Sm
0.229 0.750 0.457 Sm



Number 1: V 83.3 Å³/cell, density of states at the Fermi level 2.83 states/eV/f.u., final energy -12.015 eV per atom. Number 2: V 62.8 Å³/cell, density of states at the Fermi level 1.58 states/eV/f.u., final energy -9.356 eV per atom. Number 3: V 63.0 Å³/cell, density of states at the Fermi level 1.32 states/eV/f.u., final energy -9.350 eV per atom. Number 4: V 74.8 Å³/cell, density of states at the Fermi level 4.41 states/eV/f.u., final energy -12.720 eV per atom. Number 5: V 76.9 Å³/cell, density of states at the Fermi level 2.25 states/eV/f.u., final energy -12.778 eV per atom. Number 6: V 102.1 Å³/cell, density of states at the Fermi level 3.92 states/eV/f.u., final energy -12.032 eV per atom. Number 7: V 78.0 Å³/cell, density of states at the Fermi level 1.91 states/eV/f.u., final energy -12.541 eV per atom. Number 8: V 174.2 Å³/cell, density of states at the Fermi level 3.04 states/eV/f.u., final energy -31.361 eV per atom.